No. 1
A relaxed structure of LaMo2, computed with PBE-GGA.

Output
E_form = 343 meV per atom
electronic total energy = -51.12 eV per cell
size of the total moment = 0.0000 μB/atom

extended XYZ file:
```
6
Lattice="4.2569 -3.8512 0.0000 4.2569 3.8512 0.0000 -2.0366 0.0000 4.0804" Properties=species:S:1:pos:R:3 pbc="T T T"
La 2.7294 2.4798 3.0603
La 3.7477 -2.4798 1.0201
Mo 2.7998 0.6695 0.1940
Mo 1.7814 -0.6695 2.2342
Mo 4.6957 0.6695 1.8462
Mo 3.6773 -0.6695 3.8864
```

No. 2
A relaxed structure of LaMo5, computed with PBE-GGA.

Output
E_form = 332 meV per atom
electronic total energy = -57.09 eV per cell
size of the total moment = 0.0000 μB/atom

extended XYZ file:
```
6
Lattice="5.6131 0.0000 0.0000 -2.8065 4.8611 0.0000 0.0000 0.0000 4.3529" Properties=species:S:1:pos:R:3 pbc="T T T"
La 0.0000 0.0000 0.0000
Mo -1.4033 2.4305 2.1764
Mo 0.0000 3.2407 0.0000
Mo 2.8065 0.0000 2.1764
Mo 1.4033 2.4305 2.1764
Mo 2.8066 1.6204 0.0000
```

No. 3
A relaxed structure of LaMo2, computed with PBE-GGA.

Output
E_form = 1795 meV per atom
electronic total energy = -84.82 eV per cell
size of the total moment = 0.0000 μB/atom

extended XYZ file:
```
12
Lattice="6.5746 0.0000 0.0000 0.0000 6.5746 0.0000 0.0000 0.0000 6.5746" Properties=species:S:1:pos:R:3 pbc="T T T"
La 0.0000 0.0000 0.0000
La 0.0000 3.2873 3.2873
La 3.2873 0.0000 3.2873
La 3.2873 3.2873 0.0000
Mo 0.6663 3.9536 5.9083
Mo 0.6663 5.9083 2.6210
Mo 2.6210 0.6663 5.9083
Mo 2.6210 2.6210 2.6210
Mo 3.9536 3.9536 3.9536
Mo 3.9536 5.9083 0.6663
Mo 5.9083 0.6663 3.9536
Mo 5.9083 2.6210 0.6663
```

No. 4
A relaxed structure of La2Mo, computed with PBE-GGA.

Output
E_form = 304 meV per atom
electronic total energy = -39.55 eV per cell
size of the total moment = 0.0000 μB/atom

extended XYZ file:
```
6
Lattice="6.8072 -2.4835 0.0000 6.8072 2.4835 0.0000 0.0000 0.0000 5.2016" Properties=species:S:1:pos:R:3 pbc="T T T"
La 4.9719 1.4187 3.9012
La 8.6425 1.4187 3.9012
La 4.9719 -1.4187 1.3004
La 8.6425 -1.4187 1.3004
Mo 6.8072 0.5921 1.3004
Mo 6.8072 -0.5921 3.9012
```

No. 5
A relaxed structure of LaMo2, computed with PBE-GGA.

Output
E_form = 654 meV per atom
electronic total energy = -24.63 eV per cell
size of the total moment = 0.0000 μB/atom

extended XYZ file:
```
3
Lattice="3.6543 0.0000 0.0000 0.0000 3.6543 0.0000 0.0000 0.0000 5.3728" Properties=species:S:1:pos:R:3 pbc="T T T"
La 0.0000 0.0000 0.0000
Mo 0.0000 1.8272 2.6864
Mo 1.8272 0.0000 2.6864
```

No. 6
A relaxed structure of LaMo3N, computed with PBE-GGA.

Output
electronic total energy = -28.82 eV per cell
E_form (uncorrected) = 3385.5 meV/atom
size of the total moment = 0.1219 μB/atom

extended XYZ file:
```
5
Lattice="4.7668 0.0000 0.0000 0.0000 4.7668 0.0000 0.0000 0.0000 4.7668" Properties=species:S:1:pos:R:3 pbc="T T T"
La 0.0000 0.0000 0.0000
Mo 0.0000 0.0000 2.3834
Mo 0.0000 2.3834 0.0000
Mo 2.3834 0.0000 0.0000
N 2.3834 2.3834 2.3834
```

No. 7
A relaxed structure of La3MoN5, computed with PBE-GGA.

Output
electronic total energy = -155.64 eV per cell
E_form (uncorrected) = -1175.3 meV/atom
size of the total moment = 0.0000 μB/atom

extended XYZ file:
```
18
Lattice="-3.4744 3.4744 5.8947 3.4744 -3.4744 5.8947 3.4744 3.4744 -5.8947" Properties=species:S:1:pos:R:3 pbc="T T T"
La 4.7149 1.2405 0.0000
La 0.0000 0.0000 2.9473
La 1.2405 2.2340 0.0000
La 2.2340 1.2405 5.8947
La 0.0000 0.0000 8.8420
La -1.2405 2.2340 5.8947
Mo 3.4744 0.0000 2.9473
Mo 0.0000 3.4744 2.9473
N 0.0000 0.0000 0.0000
N 4.5196 -1.0452 1.8061
N 2.4293 -1.0452 4.0885
N 2.4293 1.0452 1.8061
N 4.5196 1.0452 4.0885
N 0.0000 0.0000 5.8947
N -1.0452 2.4293 1.8061
N 1.0452 2.4293 4.0885
N 1.0452 4.5196 1.8061
N -1.0452 4.5196 4.0885
```

No. 8
A relaxed structure of LaMo3N, computed with PBE-GGA.

Output
electronic total energy = -44.40 eV per cell
E_form (uncorrected) = 268.6 meV/atom
size of the total moment = 0.0000 μB/atom

extended XYZ file:
```
5
Lattice="4.3439 0.0000 0.0000 0.0000 4.3439 0.0000 0.0000 0.0000 4.3439" Properties=species:S:1:pos:R:3 pbc="T T T"
La 0.0000 0.0000 0.0000
Mo 0.0000 2.1720 2.1720
Mo 2.1720 0.0000 2.1720
Mo 2.1720 2.1720 0.0000
N 2.1720 2.1720 2.1720
```